Entry 1:
Dy4Ga | PBE | relaxed

a b c (Å): 5.5031 5.5031 5.5031
angles (deg): 90.00 90.00 90.00
Sites, in units of the cell vectors:
1 Dy 0.0000 0.0000 0.0000
2 Dy 0.0000 0.5000 0.5000
3 Dy 0.5000 0.0000 0.5000
4 Dy 0.5000 0.5000 0.0000
5 Ga 0.5000 0.5000 0.5000

Summary:
energy above the most stable polymorph in this dataset	0.294	eV/atom
calculated formation energy	0.133	eV per atom

Entry 2:
SrTlInCl6 | PBE | relaxed

a b c (Å): 7.2371 7.2371 13.4739
angles (deg): 90.00 90.00 120.00
Sites, in units of the cell vectors:
1 Sr 0.3333 0.6667 0.2500
2 Sr 0.6667 0.3333 0.7500
3 Tl 0.0000 0.0000 0.0000
4 Tl 0.0000 0.0000 0.5000
5 In 0.3333 0.6667 0.7500
6 In 0.6667 0.3333 0.2500
7 Cl 0.0370 0.3858 0.6397
8 Cl 0.0370 0.6512 0.8603
9 Cl 0.3488 0.3858 0.8603
10 Cl 0.3488 0.9630 0.6397
11 Cl 0.3858 0.0370 0.1397
12 Cl 0.3858 0.3488 0.3603
13 Cl 0.6142 0.6512 0.6397
14 Cl 0.6142 0.9630 0.8603
15 Cl 0.6512 0.0370 0.3603
16 Cl 0.6512 0.6142 0.1397
17 Cl 0.9630 0.3488 0.1397
18 Cl 0.9630 0.6142 0.3603

Summary:
formation energy (no corrections)	-1.553	eV per atom

Entry 3:
LaErGaPd | PBE | relaxed

a b c (Å): 5.1397 5.1397 5.1397
angles (deg): 60.00 60.00 60.00
Sites, in units of the cell vectors:
1 La 0.0000 0.0000 0.0000
2 Er 0.5000 0.5000 0.5000
3 Ga 0.7500 0.7500 0.7500
4 Pd 0.2500 0.2500 0.2500

Summary:
energy above the most stable polymorph in this dataset	0.048	eV/atom
calculated formation energy	-0.646	eV per atom

Entry 4:
Zr7Te8N4 | PBE | relaxed

a b c (Å): 7.8738 7.9498 8.4430
angles (deg): 102.06 102.52 102.78
Sites, in units of the cell vectors:
1 Zr 0.0000 0.0000 0.0000
2 Zr 0.0405 0.1826 0.5194
3 Zr 0.1029 0.4440 0.2272
4 Zr 0.2911 0.6258 0.6947
5 Zr 0.6020 0.0305 0.2890
6 Zr 0.7703 0.2706 0.8102
7 Zr 0.8217 0.4878 0.5477
8 Te 0.0630 0.8800 0.6815
9 Te 0.2460 0.7314 0.0619
10 Te 0.2962 0.1865 0.3089
11 Te 0.3815 0.3318 0.7871
12 Te 0.4890 0.6917 0.4544
13 Te 0.6040 0.9368 0.9073
14 Te 0.7031 0.3790 0.1746
15 Te 0.8685 0.8492 0.2540
16 N 0.0009 0.2546 0.9931
17 N 0.0749 0.4530 0.4986
18 N 0.7735 0.1921 0.5381
19 N 0.8302 0.5152 0.7862

Summary:
formation energy (no corrections)	-0.868	eV per atom

Entry 5:
SrCoAs2Ir | PBE | relaxed

a b c (Å): 6.7840 6.7840 6.7840
angles (deg): 145.95 145.95 48.93
Sites, in units of the cell vectors:
1 Sr 0.0000 0.0000 0.0000
2 Co 0.7500 0.2500 0.5000
3 As 0.3624 0.3624 0.0000
4 As 0.6376 0.6376 0.0000
5 Ir 0.2500 0.7500 0.5000

Summary:
calculated formation energy	-0.598	eV per atom

Entry 6:
BaV4 | PBE | relaxed

a b c (Å): 4.7645 4.7645 4.7645
angles (deg): 90.00 90.00 90.00
Sites, in units of the cell vectors:
1 Ba 0.0000 0.0000 0.0000
2 V 0.0000 0.0000 0.5000
3 V 0.0000 0.5000 0.0000
4 V 0.5000 0.0000 0.0000
5 V 0.5000 0.5000 0.5000

Summary:
calculated formation energy	2.548	eV per atom

Entry 7:
KTaMn2 | PBE | relaxed

a b c (Å): 9.0684 9.0684 9.0684
angles (deg): 149.92 149.92 43.06
Sites, in units of the cell vectors:
1 K 0.3750 0.6250 0.7500
2 K 0.6250 0.3750 0.2500
3 Ta 0.1250 0.8750 0.2500
4 Ta 0.8750 0.1250 0.7500
5 Mn 0.0000 0.0000 0.0000
6 Mn 0.0000 0.0000 0.5000
7 Mn 0.0000 0.5000 0.0000
8 Mn 0.5000 0.0000 0.5000

Summary:
energy above the most stable polymorph in this dataset	1.169	eV/atom
calculated formation energy	1.711	eV per atom

Entry 8:
Sm2Th3 | PBE | relaxed

a b c (Å): 14.8060 14.8060 14.8060
angles (deg): 13.94 13.94 13.94
Sites, in units of the cell vectors:
1 Sm 0.2018 0.2018 0.2018
2 Sm 0.7982 0.7982 0.7982
3 Th 0.0000 0.0000 0.0000
4 Th 0.3986 0.3986 0.3986
5 Th 0.6014 0.6014 0.6014

Summary:
energy above the most stable polymorph in this dataset	0.000	eV/atom
calculated formation energy	0.019	eV per atom

Entry 9:
YSi3 | PBE | relaxed

a b c (Å): 3.6338 4.3218 4.8698
angles (deg): 90.00 90.00 90.00
Sites, in units of the cell vectors:
1 Y 0.0000 0.0000 0.0000
2 Si 0.5000 0.0000 0.5000
3 Si 0.5000 0.5000 0.2462
4 Si 0.5000 0.5000 0.7538

Summary:
formation energy (no corrections)	-0.188	eV per atom

Entry 10:
ScSiOs2 | PBE | relaxed

a b c (Å): 2.9487 3.7971 5.6765
angles (deg): 90.00 103.62 90.00
Sites, in units of the cell vectors:
1 Sc 0.0000 0.0000 0.0000
2 Si 0.0000 0.0000 0.5000
3 Os 0.3653 0.5000 0.7176
4 Os 0.6347 0.5000 0.2824

Summary:
formation energy (no corrections)	-0.292	eV per atom

Entry 11:
K2AgPtBr6 | PBE | relaxed

a b c (Å): 13.9434 13.9434 13.9434
angles (deg): 30.84 30.84 30.84
Sites, in units of the cell vectors:
1 K 0.1195 0.1195 0.1195
2 K 0.3047 0.3047 0.3047
3 K 0.6953 0.6953 0.6953
4 K 0.8805 0.8805 0.8805
5 Ag 0.4150 0.4150 0.4150
6 Ag 0.5850 0.5850 0.5850
7 Pt 0.0000 0.0000 0.0000
8 Pt 0.5000 0.5000 0.5000
9 Br 0.1323 0.6285 0.6285
10 Br 0.2014 0.2014 0.7125
11 Br 0.2014 0.7125 0.2014
12 Br 0.2875 0.7986 0.7986
13 Br 0.3715 0.3715 0.8677
14 Br 0.3715 0.8677 0.3715
15 Br 0.6285 0.1323 0.6285
16 Br 0.6285 0.6285 0.1323
17 Br 0.7125 0.2014 0.2014
18 Br 0.7986 0.2875 0.7986
19 Br 0.7986 0.7986 0.2875
20 Br 0.8677 0.3715 0.3715

Summary:
formation energy (no corrections)	-0.829	eV per atom

Entry 12:
Tb3AgHg4 | PBE | relaxed

a b c (Å): 5.1896 5.1896 7.2626
angles (deg): 90.00 90.00 90.00
Sites, in units of the cell vectors:
1 Tb 0.0000 0.0000 0.0000
2 Tb 0.0000 0.0000 0.5000
3 Tb 0.5000 0.5000 0.0000
4 Ag 0.5000 0.5000 0.5000
5 Hg 0.0000 0.5000 0.2579
6 Hg 0.0000 0.5000 0.7421
7 Hg 0.5000 0.0000 0.2579
8 Hg 0.5000 0.0000 0.7421

Summary:
energy above the most stable polymorph in this dataset	0.000	eV/atom
calculated formation energy	-0.386	eV per atom

Copy entry 3 word for word.
LaErGaPd | PBE | relaxed

a b c (Å): 5.1397 5.1397 5.1397
angles (deg): 60.00 60.00 60.00
Sites, in units of the cell vectors:
1 La 0.0000 0.0000 0.0000
2 Er 0.5000 0.5000 0.5000
3 Ga 0.7500 0.7500 0.7500
4 Pd 0.2500 0.2500 0.2500

Summary:
energy above the most stable polymorph in this dataset	0.048	eV/atom
calculated formation energy	-0.646	eV per atom